No. 1
Computed, not measured: a relaxed structure of Pr2Sc2CBr5 at the PBE level of DFT.

Space-group type = C2/m, No. 12
Crystal system = monoclinic

Cell lengths 9.084, 9.084, 8.029 Å; angles 103.91, 103.91, 23.99 degrees
Fractional coordinates of all 10 atoms:
Pr: 0.145 0.145 0.079
Pr: 0.855 0.855 0.921
Sc: 0.499 0.499 0.811
Sc: 0.501 0.501 0.189
C: 0.000 0.000 0.000
Br: 0.000 0.000 0.500
Br: 0.339 0.339 0.197
Br: 0.345 0.345 0.637
Br: 0.655 0.655 0.363
Br: 0.661 0.661 0.803

No. 2
Computed, not measured: a relaxed structure of Pr2Sm2C2Br5 at the PBE level of DFT.

Energy above the lowest structure with this stoichiometry = 0.71 kcal/mol of atoms
Space-group type = C2/m, No. 12
Crystal system = monoclinic

Cell lengths 9.921, 9.921, 8.237 Å; angles 104.71, 104.71, 22.61 degrees
Fractional coordinates of all 11 atoms:
Pr: 0.159 0.159 0.101
Pr: 0.841 0.841 0.899
Sm: 0.499 0.499 0.800
Sm: 0.501 0.501 0.200
C: 0.037 0.037 0.022
C: 0.963 0.963 0.978
Br: 0.000 0.000 0.500
Br: 0.334 0.334 0.177
Br: 0.342 0.342 0.627
Br: 0.658 0.658 0.373
Br: 0.666 0.666 0.823

No. 3
Computed, not measured: a relaxed structure of Pr2Sm2CBr5 at the PBE level of DFT.

Energy above the lowest structure with this stoichiometry = 0.00 kcal/mol of atoms
Space-group type = C2/m, No. 12
Crystal system = monoclinic

Cell lengths 9.353, 9.353, 8.490 Å; angles 102.89, 102.89, 24.47 degrees
Fractional coordinates of all 10 atoms:
Pr: 0.001 0.001 0.294
Pr: 0.999 0.999 0.706
Sm: 0.360 0.360 0.427
Sm: 0.640 0.640 0.573
C: 0.500 0.500 0.500
Br: 0.167 0.167 0.834
Br: 0.173 0.173 0.338
Br: 0.500 0.500 0.000
Br: 0.827 0.827 0.662
Br: 0.833 0.833 0.166

No. 4
Computed, not measured: a relaxed structure of Pr2Sm2C2Br5 at the PBE level of DFT.

Energy above the lowest structure with this stoichiometry = 0.00 kcal/mol of atoms
Space-group type = C2/m, No. 12
Crystal system = monoclinic

Cell lengths 9.909, 9.909, 8.275 Å; angles 103.65, 103.65, 23.01 degrees
Fractional coordinates of all 11 atoms:
Pr: 0.001 0.001 0.297
Pr: 0.999 0.999 0.703
Sm: 0.345 0.345 0.402
Sm: 0.655 0.655 0.598
C: 0.463 0.463 0.477
C: 0.537 0.537 0.523
Br: 0.163 0.163 0.861
Br: 0.170 0.170 0.338
Br: 0.500 0.500 0.000
Br: 0.830 0.830 0.662
Br: 0.837 0.837 0.139

No. 5
Computed, not measured: a relaxed structure of Pr2Sm2CBr5 at the PBE level of DFT.

Energy above the lowest structure with this stoichiometry = 0.05 kcal/mol of atoms
Space-group type = C2/m, No. 12
Crystal system = monoclinic

Cell lengths 9.360, 9.360, 8.356 Å; angles 103.32, 103.32, 24.20 degrees
Fractional coordinates of all 10 atoms:
Pr: 0.143 0.143 0.077
Pr: 0.857 0.857 0.923
Sm: 0.499 0.499 0.204
Sm: 0.501 0.501 0.796
C: 0.000 0.000 0.000
Br: 0.000 0.000 0.500
Br: 0.332 0.332 0.182
Br: 0.337 0.337 0.649
Br: 0.663 0.663 0.351
Br: 0.668 0.668 0.818

No. 6
Computed, not measured: a relaxed structure of Pr2Tm2CBr5 at the PBE level of DFT.

Space-group type = C2/m, No. 12
Crystal system = monoclinic

Cell lengths 9.368, 9.368, 8.536 Å; angles 102.23, 102.23, 23.98 degrees
Fractional coordinates of all 10 atoms:
Pr: 0.001 0.001 0.293
Pr: 0.999 0.999 0.707
Tm: 0.368 0.368 0.435
Tm: 0.632 0.632 0.565
C: 0.500 0.500 0.500
Br: 0.168 0.168 0.810
Br: 0.172 0.172 0.353
Br: 0.500 0.500 0.000
Br: 0.828 0.828 0.647
Br: 0.832 0.832 0.190

Sequential E_tot output: -53.32, -60.58, -50.94, -60.92, -50.92, -50.18 eV for the cell shown